## CsCoAgF4 (GGA+U)

Data for a geometry-optimized CsCoAgF4 structure.

Computed properties:
- total energy (eV for the cell shown) = -59.6

Unit cell a=5.698 b=6.195 c=7.970 alpha=90.00 beta=100.76 gamma=90.00
Fractional positions:
Cs: 0.198 0.250 0.105
Cs: 0.802 0.750 0.895
Co: 0.366 0.250 0.684
Co: 0.634 0.750 0.316
Ag: 0.150 0.750 0.479
Ag: 0.850 0.250 0.521
F: 0.145 0.016 0.714
F: 0.145 0.484 0.714
F: 0.344 0.750 0.150
F: 0.430 0.250 0.455
F: 0.570 0.750 0.545
F: 0.656 0.250 0.850
F: 0.855 0.516 0.286
F: 0.855 0.984 0.286